A relaxed structure of Nd7Y3In, computed with PBE-GGA.

a b c (Å): 7.1265 7.1265 8.6587
angles (deg): 90.00 90.00 120.00
Positions (direct):
Nd (0.0000, 0.0000, 0.0000)
Nd (0.1644, 0.3288, 0.6623)
Nd (0.1644, 0.8356, 0.6623)
Nd (0.5025, 0.0050, 0.9920)
Nd (0.5025, 0.4975, 0.9920)
Nd (0.6712, 0.8356, 0.6623)
Nd (0.9950, 0.4975, 0.9920)
Y (0.3339, 0.1669, 0.3317)
Y (0.8331, 0.1669, 0.3317)
Y (0.8331, 0.6661, 0.3317)
In (0.6667, 0.3333, 0.6496)

Summary:
The calculation puts the density of states at the Fermi level at 1.47 states/eV per atom. As for the formation enthalpy at 0 K: 0.10 eV per atom. Its total moment is 0.00 μB/f.u. The volume is 381 Å³ per cell.

A relaxed structure of SrZn3Rh, computed with PBE-GGA.

a b c (Å): 8.4392 8.4392 5.0840
angles (deg): 90.00 90.00 146.43
Positions (direct):
Sr (0.1920, 0.8080, 0.7500)
Sr (0.8080, 0.1920, 0.2500)
Zn (0.0000, 0.0000, 0.0000)
Zn (0.0000, 0.0000, 0.5000)
Zn (0.1567, 0.3721, 0.7500)
Zn (0.3721, 0.1567, 0.2500)
Zn (0.6279, 0.8433, 0.7500)
Zn (0.8433, 0.6279, 0.2500)
Rh (0.4513, 0.5487, 0.2500)
Rh (0.5487, 0.4513, 0.7500)

Summary:
Its energy above the lowest structure with this stoichiometry is 147 meV per atom. The calculation puts the density of states at the Fermi level at 0.63 states/eV per atom. As for the formation enthalpy at 0 K: -0.20 eV per atom. Its total moment is 0.00 μB/f.u. The volume is 200 Å³ per cell.

A relaxed structure of Lu2ThRu, computed with PBE-GGA.

a b c (Å): 3.3925 3.3925 8.6584
angles (deg): 90.00 90.00 90.00
Positions (direct):
Lu (0.0000, 0.0000, 0.1836)
Lu (0.0000, 0.0000, 0.8164)
Th (0.5000, 0.5000, 0.5000)
Ru (0.5000, 0.5000, 0.0000)

Summary:
The calculation puts the density of states at the Fermi level at 0.94 states/eV per atom. As for the formation enthalpy at 0 K: -0.28 eV per atom. Its total moment is 0.00 μB/f.u. The volume is 100 Å³ per cell.

A relaxed structure of Tb3YHg4, computed with PBE-GGA.

a b c (Å): 5.2568 5.2568 7.5406
angles (deg): 90.00 90.00 90.00
Positions (direct):
Tb (0.0000, 0.0000, 0.0000)
Tb (0.0000, 0.0000, 0.5000)
Tb (0.5000, 0.5000, 0.0000)
Y (0.5000, 0.5000, 0.5000)
Hg (0.0000, 0.5000, 0.2504)
Hg (0.0000, 0.5000, 0.7496)
Hg (0.5000, 0.0000, 0.2504)
Hg (0.5000, 0.0000, 0.7496)

Summary:
The calculation puts the density of states at the Fermi level at 1.07 states/eV per atom. As for the formation enthalpy at 0 K: -0.49 eV per atom. Its total moment is 0.67 μB/f.u. The volume is 208 Å³ per cell.

A relaxed structure of Bi3B7O12, computed with PBE-GGA.

a b c (Å): 7.0038 9.2424 9.5927
angles (deg): 95.42 103.41 98.18
Positions (direct):
Bi (0.0164, 0.3414, 0.0070)
Bi (0.1287, 0.0515, 0.1784)
Bi (0.3284, 0.7797, 0.2511)
Bi (0.6716, 0.2203, 0.7489)
Bi (0.8713, 0.9485, 0.8216)
Bi (0.9836, 0.6586, 0.9930)
B (0.1364, 0.7227, 0.5120)
B (0.1471, 0.2561, 0.7032)
B (0.2083, 0.3013, 0.4651)
B (0.2927, 0.5336, 0.7974)
B (0.3185, 0.0710, 0.8663)
B (0.4088, 0.8067, 0.9006)
B (0.4894, 0.6895, 0.6708)
B (0.5106, 0.3105, 0.3292)
B (0.5912, 0.1933, 0.0994)
B (0.6815, 0.9290, 0.1337)
B (0.7073, 0.4664, 0.2026)
B (0.7917, 0.6987, 0.5349)
B (0.8529, 0.7439, 0.2968)
B (0.8636, 0.2773, 0.4880)
O (0.0065, 0.3197, 0.4144)
O (0.0681, 0.7574, 0.3713)
O (0.1617, 0.1245, 0.7803)
O (0.1978, 0.3944, 0.8136)
O (0.2656, 0.2564, 0.5993)
O (0.2672, 0.6598, 0.8807)
O (0.2883, 0.9227, 0.8689)
O (0.3261, 0.3207, 0.3729)
O (0.3368, 0.7371, 0.5570)
O (0.4103, 0.5458, 0.7048)
O (0.4535, 0.2013, 0.1916)
O (0.4835, 0.1724, 0.9422)
O (0.5165, 0.8276, 0.0578)
O (0.5465, 0.7987, 0.8084)
O (0.5897, 0.4542, 0.2952)
O (0.6632, 0.2629, 0.4430)
O (0.6739, 0.6793, 0.6271)
O (0.7117, 0.0773, 0.1311)
O (0.7328, 0.3402, 0.1193)
O (0.7344, 0.7436, 0.4007)
O (0.8022, 0.6056, 0.1864)
O (0.8383, 0.8755, 0.2197)
O (0.9319, 0.2426, 0.6287)
O (0.9935, 0.6803, 0.5856)

Summary:
Its total moment is 0.00 μB/f.u. For the energy, the calculation gives -7.350 eV/atom. The volume is 593 Å³ per cell.

A relaxed structure of ErAgPb, computed with PBE-GGA.

a b c (Å): 9.5507 4.5135 7.2089
angles (deg): 90.00 90.00 90.00
Positions (direct):
Er (0.1127, 0.2500, 0.2022)
Er (0.3873, 0.7500, 0.7022)
Er (0.6127, 0.2500, 0.2978)
Er (0.8873, 0.7500, 0.7978)
Ag (0.1108, 0.7500, 0.4986)
Ag (0.3892, 0.2500, 0.9986)
Ag (0.6108, 0.7500, 0.0014)
Ag (0.8892, 0.2500, 0.5014)
Pb (0.1350, 0.2500, 0.7631)
Pb (0.3650, 0.7500, 0.2631)
Pb (0.6350, 0.2500, 0.7369)
Pb (0.8650, 0.7500, 0.2369)

Summary:
The calculation puts the density of states at the Fermi level at 0.35 states/eV per atom. As for the formation enthalpy at 0 K: -0.29 eV per atom. Its total moment is 0.00 μB/f.u. The volume is 311 Å³ per cell.

A relaxed structure of Mg2In4Pb, computed with PBE-GGA.

a b c (Å): 7.3040 7.3040 7.3040
angles (deg): 132.97 132.97 68.70
Positions (direct):
Mg (0.1374, 0.1374, 0.0000)
Mg (0.8626, 0.8626, 0.0000)
In (0.0000, 0.5000, 0.5000)
In (0.2500, 0.7500, 0.5000)
In (0.5000, 0.0000, 0.5000)
In (0.7500, 0.2500, 0.5000)
Pb (0.5000, 0.5000, 0.0000)

Summary:
Its energy above the lowest structure with this stoichiometry is 61 meV per atom. The calculation puts the density of states at the Fermi level at 0.35 states/eV per atom. As for the formation enthalpy at 0 K: 0.15 eV per atom. Its total moment is 0.00 μB/f.u. The volume is 205 Å³ per cell.

A relaxed structure of Ba2SrNdO4, computed with PBE-GGA.

a b c (Å): 6.4866 3.7402 6.6518
angles (deg): 90.00 108.95 90.00
Positions (direct):
Ba (0.0000, 0.0000, 0.0000)
Ba (0.5000, 0.5000, 0.0000)
Sr (0.0000, 0.5000, 0.5000)
Nd (0.5000, 0.0000, 0.5000)
O (0.2542, 0.0000, 0.7155)
O (0.2758, 0.5000, 0.2909)
O (0.7242, 0.5000, 0.7091)
O (0.7458, 0.0000, 0.2845)

Summary:
The calculation puts the density of states at the Fermi level at 0.36 states/eV per atom. Its total moment is 0.00 μB/f.u. For the energy, the calculation gives -6.378 eV/atom. The volume is 153 Å³ per cell.

A relaxed structure of Y2VCu, computed with PBE-GGA.

a b c (Å): 5.0096 5.0096 5.0096
angles (deg): 60.00 60.00 60.00
Positions (direct):
Y (0.2500, 0.2500, 0.2500)
Y (0.7500, 0.7500, 0.7500)
V (0.0000, 0.0000, 0.0000)
Cu (0.5000, 0.5000, 0.5000)

Summary:
Its energy above the lowest structure with this stoichiometry is 0 meV per atom. The calculation puts the density of states at the Fermi level at 0.93 states/eV per atom. As for the formation enthalpy at 0 K: 0.15 eV per atom. Its total moment is 3.38 μB/f.u. The volume is 89 Å³ per cell.

A relaxed structure of HfNiBi2C, computed with PBE-GGA.

a b c (Å): 4.9314 4.9314 4.8614
angles (deg): 90.00 90.00 90.00
Positions (direct):
Hf (0.0000, 0.0000, 0.0000)
Ni (0.0000, 0.0000, 0.5000)
Bi (0.0000, 0.5000, 0.5000)
Bi (0.5000, 0.0000, 0.5000)
C (0.5000, 0.5000, 0.0000)

Summary:
The calculation puts the density of states at the Fermi level at 0.78 states/eV per atom. As for the formation enthalpy at 0 K: 1.52 eV per atom. Its total moment is 0.00 μB/f.u. The volume is 118 Å³ per cell.

A relaxed structure of Nd6Rh2SeS3, computed with PBE-GGA.

a b c (Å): 9.3448 9.3448 8.5010
angles (deg): 105.00 105.00 25.10
Positions (direct):
Nd (0.0056, 0.0056, 0.2634)
Nd (0.3273, 0.3273, 0.8980)
Nd (0.3311, 0.3311, 0.4167)
Nd (0.6689, 0.6689, 0.5833)
Nd (0.6727, 0.6727, 0.1020)
Nd (0.9944, 0.9944, 0.7366)
Rh (0.1693, 0.1693, 0.3391)
Rh (0.8307, 0.8307, 0.6609)
Se (0.5000, 0.5000, 0.0000)
S (0.1602, 0.1602, 0.8403)
S (0.5000, 0.5000, 0.5000)
S (0.8398, 0.8398, 0.1597)

Summary:
The calculation puts the density of states at the Fermi level at 0.51 states/eV per atom. Its total moment is 0.00 μB/f.u. For the energy, the calculation gives -6.422 eV/atom. The volume is 304 Å³ per cell.